[1]
! CaCe2NdS4 | Alexandria via LeMat-Bulk | PBE-GGA | optimized geometry; values from VASP
! Final energy (eV per atom): -6.42
! Energy relative to the elements, uncorrected (eV/f.u.): -16.20
! Density of states at the Fermi level (states/eV per atom): 1.474
&SYSTEM
  ibrav = 0, nat = 8, ntyp = 4
/
ATOMIC_SPECIES
Ca 40.08 Ca.upf
Ce 140.12 Ce.upf
Nd 144.24 Nd.upf
S 32.06 S.upf
CELL_PARAMETERS angstrom
-2.2102 3.3612 -0.1033
-4.4130 -2.7562 4.7364
2.2079 1.6499 6.4401
ATOMIC_POSITIONS crystal
Ca 0.5000 0.5000 0.0000
Ce 0.0000 0.0000 0.0000
Ce 0.5000 0.0000 0.5000
Nd 0.0000 0.5000 0.5000
S 0.0000 0.7467 0.7551
S 0.0000 0.2534 0.2449
S 0.5000 0.7494 0.2457
S 0.5000 0.2506 0.7543

[2]
! Ca2CeNdSb4 | Alexandria via LeMat-Bulk | PBE-GGA | optimized geometry; values from VASP
! Final energy (eV per atom): -4.86
! Energy relative to the elements, uncorrected (eV/f.u.): -7.70
! Density of states at the Fermi level (states/eV per atom): 0.883
&SYSTEM
  ibrav = 0, nat = 8, ntyp = 4
/
ATOMIC_SPECIES
Ca 40.08 Ca.upf
Ce 140.12 Ce.upf
Nd 144.24 Nd.upf
Sb 121.76 Sb.upf
CELL_PARAMETERS angstrom
4.5425 0.0000 0.0000
0.0000 7.8913 0.1349
0.0000 -2.7543 7.2371
ATOMIC_POSITIONS crystal
Ca 0.5000 0.0000 0.5000
Ca 0.0000 0.5000 0.5000
Ce 0.0000 0.0000 0.0000
Nd 0.5000 0.5000 0.0000
Sb 0.5000 0.2424 0.2400
Sb 0.5000 0.7576 0.7600
Sb 0.0000 0.2480 0.7563
Sb 0.0000 0.7520 0.2437

[3]
! CaCeNd2Sb4 | Alexandria via LeMat-Bulk | PBE-GGA | optimized geometry; values from VASP
! Final energy (eV per atom): -5.31
! Energy relative to the elements, uncorrected (eV/f.u.): -8.54
! Density of states at the Fermi level (states/eV per atom): 0.538
&SYSTEM
  ibrav = 0, nat = 8, ntyp = 4
/
ATOMIC_SPECIES
Ca 40.08 Ca.upf
Ce 140.12 Ce.upf
Nd 144.24 Nd.upf
Sb 121.76 Sb.upf
CELL_PARAMETERS angstrom
4.5220 0.0000 0.0000
0.0000 7.7906 0.1429
0.0000 -2.7159 7.3448
ATOMIC_POSITIONS crystal
Ca 0.5000 0.5000 0.0000
Ce 0.0000 0.0000 0.0000
Nd 0.5000 0.0000 0.5000
Nd 0.0000 0.5000 0.5000
Sb 0.5000 0.2452 0.2458
Sb 0.5000 0.7548 0.7542
Sb 0.0000 0.2456 0.7526
Sb 0.0000 0.7544 0.2474

[4]
! CaCe2NdSb4 | Alexandria via LeMat-Bulk | PBE-GGA | optimized geometry; values from VASP
! Final energy (eV per atom): -5.44
! Energy relative to the elements, uncorrected (eV/f.u.): -8.42
! Density of states at the Fermi level (states/eV per atom): 1.071
&SYSTEM
  ibrav = 0, nat = 8, ntyp = 4
/
ATOMIC_SPECIES
Ca 40.08 Ca.upf
Ce 140.12 Ce.upf
Nd 144.24 Nd.upf
Sb 121.76 Sb.upf
CELL_PARAMETERS angstrom
-2.2498 -3.3598 2.0308
5.3576 -5.0789 -2.4672
5.7075 -0.5951 5.3383
ATOMIC_POSITIONS crystal
Ca 0.0000 0.5000 0.5000
Ce 0.0000 0.0000 0.0000
Ce 0.5000 0.0000 0.5000
Nd 0.5000 0.5000 0.0000
Sb 0.0000 0.7553 0.7493
Sb 0.0000 0.2447 0.2507
Sb 0.5000 0.7580 0.2460
Sb 0.5000 0.2420 0.7540

[5]
! Ca3Ce3NdSe8 | Alexandria via LeMat-Bulk | PBE-GGA | optimized geometry; values from VASP
! Final energy (eV per atom): -5.63
! Energy relative to the elements, uncorrected (eV/f.u.): -28.05
! Density of states at the Fermi level (states/eV per atom): 1.535
&SYSTEM
  ibrav = 0, nat = 15, ntyp = 4
/
ATOMIC_SPECIES
Ca 40.08 Ca.upf
Ce 140.12 Ce.upf
Nd 144.24 Nd.upf
Se 78.96 Se.upf
CELL_PARAMETERS angstrom
8.4233 0.0000 0.0000
-4.2116 7.2965 -0.0259
0.0000 -4.8407 6.9438
ATOMIC_POSITIONS crystal
Ca 0.0000 0.0000 0.0000
Ca 0.0000 0.5000 0.0000
Ca 0.5000 0.5000 0.0000
Ce 0.5000 0.0000 0.5000
Ce 0.5000 0.5000 0.5000
Ce 0.0000 0.5000 0.5000
Nd 0.0000 0.0000 0.5000
Se 0.2481 0.4962 0.2443
Se 0.7519 0.5038 0.7557
Se 0.7502 0.5004 0.2498
Se 0.2498 0.4996 0.7502
Se 0.7502 0.9996 0.2500
Se 0.2498 0.0004 0.7500
Se 0.2494 0.9996 0.2500
Se 0.7506 0.0004 0.7500

[6]
! Ca3Ce2NdSe6 | Alexandria via LeMat-Bulk | PBE-GGA | optimized geometry; values from VASP
! Final energy (eV per atom): -5.51
! Energy relative to the elements, uncorrected (eV/f.u.): -22.51
! Density of states at the Fermi level (states/eV per atom): 1.255
&SYSTEM
  ibrav = 0, nat = 12, ntyp = 4
/
ATOMIC_SPECIES
Ca 40.08 Ca.upf
Ce 140.12 Ce.upf
Nd 144.24 Nd.upf
Se 78.96 Se.upf
CELL_PARAMETERS angstrom
7.2485 0.0013 0.0016
-3.6214 6.2790 0.0016
-1.2088 -2.0930 6.9922
ATOMIC_POSITIONS crystal
Ca 0.1657 0.8343 0.5000
Ca 0.8343 0.1657 0.5000
Ca 0.5000 0.5000 0.5000
Ce 0.3332 0.6668 0.0000
Ce 0.6668 0.3332 0.0000
Nd 0.0000 0.0000 0.0000
Se 0.9145 0.5803 0.7435
Se 0.7511 0.7511 0.2562
Se 0.0855 0.4197 0.2565
Se 0.5803 0.9145 0.7435
Se 0.2489 0.2489 0.7438
Se 0.4197 0.0855 0.2565

[7]
! Ca3CeNd2Se6 | Alexandria via LeMat-Bulk | PBE-GGA | optimized geometry; values from VASP
! Final energy (eV per atom): -5.42
! Energy relative to the elements, uncorrected (eV/f.u.): -22.69
! Density of states at the Fermi level (states/eV per atom): 0.839
&SYSTEM
  ibrav = 0, nat = 12, ntyp = 4
/
ATOMIC_SPECIES
Ca 40.08 Ca.upf
Ce 140.12 Ce.upf
Nd 144.24 Nd.upf
Se 78.96 Se.upf
CELL_PARAMETERS angstrom
4.1860 0.0000 0.0000
0.0000 8.4960 0.2122
-2.0930 -2.5457 8.8903
ATOMIC_POSITIONS crystal
Ca 0.5000 0.5000 0.0000
Ca 0.8325 0.1667 0.6650
Ca 0.1675 0.8333 0.3350
Ce 0.5000 0.0000 0.0000
Nd 0.8321 0.6636 0.6642
Nd 0.1679 0.3364 0.3358
Se 0.3322 0.9197 0.6645
Se 0.6648 0.5883 0.3296
Se 0.6678 0.0803 0.3355
Se 0.9987 0.2532 0.9974
Se 0.0013 0.7468 0.0026
Se 0.3352 0.4117 0.6704

[8]
! Ca3CeNd3Se8 | Alexandria via LeMat-Bulk | PBE-GGA | optimized geometry; values from VASP
! Final energy (eV per atom): -5.50
! Energy relative to the elements, uncorrected (eV/f.u.): -28.44
! Density of states at the Fermi level (states/eV per atom): 0.679
&SYSTEM
  ibrav = 0, nat = 15, ntyp = 4
/
ATOMIC_SPECIES
Ca 40.08 Ca.upf
Ce 140.12 Ce.upf
Nd 144.24 Nd.upf
Se 78.96 Se.upf
CELL_PARAMETERS angstrom
-6.7474 -1.5601 4.7886
6.4820 -5.3734 -0.0192
0.8323 7.5873 3.6447
ATOMIC_POSITIONS crystal
Ca 0.0000 0.0000 0.0000
Ca 0.0000 0.5000 0.0000
Ca 0.5000 0.5000 0.0000
Ce 0.0000 0.0000 0.5000
Nd 0.5000 0.0000 0.5000
Nd 0.5000 0.5000 0.5000
Nd 0.0000 0.5000 0.5000
Se 0.2483 0.4965 0.2448
Se 0.7517 0.5035 0.7552
Se 0.7507 0.5015 0.2498
Se 0.2493 0.4985 0.7502
Se 0.7508 0.9990 0.2499
Se 0.2492 0.0010 0.7501
Se 0.2482 0.9990 0.2499
Se 0.7518 0.0010 0.7501